No. 1
Here is a geometry-optimized Ba5PrHg6 structure from Alexandria via LeMat-Bulk. Energies are from PBE.

## Properties
**Energy of formation from the pure elements**: -47.83 kJ per mole of atoms
**Space-group type**: P2/m (10)
**Density**: 7.91 g cm⁻³
**Crystal system**: monoclinic

POSCAR file:
```
Ba5PrHg6
1.0
5.5322 -0.0324 1.8548
0.0438 8.3081 0.0146
0.0005 -0.0163 9.2786
Hg Ba Pr
6 5 1
Direct
0.5000 0.2260 0.0000
0.1570 0.7615 0.6854
0.8430 0.7615 0.3146
0.1570 0.2385 0.6854
0.8430 0.2385 0.3146
0.5000 0.7740 0.0000
0.0000 0.5000 0.0000
0.3323 0.5000 0.3360
0.6677 0.5000 0.6640
0.6683 0.0000 0.6627
0.3317 0.0000 0.3373
0.0000 0.0000 0.0000
```

=====

No. 2
Here is a geometry-optimized AlOsPt2 structure from Alexandria via LeMat-Bulk. Energies are from PBE.

## Properties
**Energy of formation from the pure elements**: -23.57 kJ per mole of atoms
**Space-group type**: P4/mmm (123)
**Density**: 16.66 g cm⁻³
**Crystal system**: tetragonal

POSCAR file:
```
AlOsPt2
1.0
-3.5616 -3.0793 -0.1282
2.9032 -3.4178 1.4401
-0.5993 0.5851 2.5968
Al Pt Os
1 2 1
Direct
0.5000 0.0000 0.5000
0.5000 0.5000 0.0000
0.0000 0.0000 0.0000
0.0000 0.5000 0.5000
```

=====

> What is the formula in the second record?

AlOsPt2

=====

> Which value of energy of formation from the pure elements does entry 1 give?

-47.83 kJ per mole of atoms

=====

> Which formula does entry 1 have?

Ba5PrHg6